Here is crystalline Ce2NdGa2Cu2 at its relaxed geometry from Alexandria via LeMat-Bulk. Energies are from PBE-GGA.

Properties
For the density of states at the Fermi level, the calculation gives 8.376 states/eV/f.u. The calculation puts the density at 7.8 Mg/m³. As for the formation energy: -2.87 eV per formula unit.

Cell: 4.320 4.320 9.406 Å, 76.72 76.72 60.00°
Element x y z (fractional)
Ce (0.141, 0.141, 0.578)
Ce (0.859, 0.859, 0.422)
Nd (0.000, 0.000, 0.000)
Ga (0.740, 0.740, 0.780)
Ga (0.260, 0.260, 0.220)
Cu (0.591, 0.591, 0.228)
Cu (0.409, 0.409, 0.772)



Here is crystalline CeNdGaCu at its relaxed geometry from Alexandria via LeMat-Bulk. Energies are from PBE-GGA.

Properties
For the density of states at the Fermi level, the calculation gives 9.299 states/eV/f.u. The calculation puts the density at 7.2 Mg/m³. As for the formation energy: -1.06 eV per formula unit.

Cell: 5.138 5.138 5.138 Å, 60.00 60.00 60.00°
Element x y z (fractional)
Cu (0.250, 0.250, 0.250)
Nd (0.500, 0.500, 0.500)
Ga (0.750, 0.750, 0.750)
Ce (0.000, 0.000, 0.000)



Here is crystalline Ce2Ga4Cu3Ni at its relaxed geometry from Alexandria via LeMat-Bulk. Energies are from PBE-GGA.

Properties
For the density of states at the Fermi level, the calculation gives 12.675 states/eV/f.u. The calculation puts the density at 7.6 Mg/m³. As for the formation energy: -4.22 eV per formula unit.

Cell: 4.218 4.218 9.902 Å, 90.00 90.00 90.00°
Element x y z (fractional)
Ce (0.500, 0.000, 0.259)
Ce (0.000, 0.500, 0.741)
Ga (0.500, 0.500, 0.000)
Ga (0.000, 0.000, 0.000)
Ga (0.500, 0.000, 0.624)
Ga (0.000, 0.500, 0.376)
Cu (0.000, 0.000, 0.500)
Cu (0.500, 0.000, 0.867)
Cu (0.000, 0.500, 0.133)
Ni (0.500, 0.500, 0.500)



Here is crystalline Ce2Ga3Cu12Ni at its relaxed geometry from Alexandria via LeMat-Bulk. Energies are from PBE-GGA.

Properties
For the density of states at the Fermi level, the calculation gives 20.245 states/eV/f.u. The calculation puts the density at 7.4 Mg/m³. As for the formation energy: 2.25 eV per formula unit.

Cell: 9.654 9.654 9.654 Å, 37.20 37.20 37.20°
Element x y z (fractional)
Ce (0.654, 0.654, 0.654)
Ce (0.346, 0.346, 0.346)
Ga (0.500, 0.000, 0.000)
Ga (0.000, 0.500, 0.000)
Ga (0.000, 0.000, 0.500)
Cu (0.421, 0.421, 0.812)
Cu (0.930, 0.930, 0.348)
Cu (0.348, 0.930, 0.930)
Cu (0.812, 0.421, 0.421)
Cu (0.930, 0.348, 0.930)
Cu (0.421, 0.812, 0.421)
Cu (0.579, 0.579, 0.188)
Cu (0.070, 0.070, 0.652)
Cu (0.652, 0.070, 0.070)
Cu (0.188, 0.579, 0.579)
Cu (0.070, 0.652, 0.070)
Cu (0.579, 0.188, 0.579)
Ni (0.000, 0.000, 0.000)



Here is crystalline CeGa2CuNi at its relaxed geometry from Alexandria via LeMat-Bulk. Energies are from PBE-GGA.

Properties
For the density of states at the Fermi level, the calculation gives 4.493 states/eV/f.u. The calculation puts the density at 7.7 Mg/m³. As for the formation energy: -2.08 eV per formula unit.

Cell: 4.060 3.815 6.241 Å, 107.80 108.98 90.00°
Element x y z (fractional)
Ce (0.429, 0.429, 0.857)
Ga (0.697, 0.197, 0.395)
Ga (0.052, 0.052, 0.104)
Cu (0.197, 0.697, 0.393)
Ni (0.838, 0.838, 0.675)



Here is crystalline CeGa2CuNi5 at its relaxed geometry from Alexandria via LeMat-Bulk. Energies are from PBE-GGA.

Properties
For the density of states at the Fermi level, the calculation gives 3.175 states/eV/f.u. The calculation puts the density at 8.1 Mg/m³. As for the formation energy: -0.93 eV per formula unit.

Cell: 3.758 3.758 9.233 Å, 90.00 90.00 90.00°
Element x y z (fractional)
Ce (0.000, 0.000, 0.500)
Ga (0.500, 0.500, 0.129)
Ga (0.500, 0.500, 0.871)
Cu (0.000, 0.000, 0.000)
Ni (0.000, 0.500, 0.288)
Ni (0.500, 0.000, 0.288)
Ni (0.000, 0.500, 0.712)
Ni (0.500, 0.000, 0.712)
Ni (0.500, 0.500, 0.500)



- Look up the density of the fourth one.
  7.4 Mg/m³



Please write out number 1 again, unchanged.
Here is crystalline Ce2NdGa2Cu2 at its relaxed geometry from Alexandria via LeMat-Bulk. Energies are from PBE-GGA.

Properties
For the density of states at the Fermi level, the calculation gives 8.376 states/eV/f.u. The calculation puts the density at 7.8 Mg/m³. As for the formation energy: -2.87 eV per formula unit.

Cell: 4.320 4.320 9.406 Å, 76.72 76.72 60.00°
Element x y z (fractional)
Ce (0.141, 0.141, 0.578)
Ce (0.859, 0.859, 0.422)
Nd (0.000, 0.000, 0.000)
Ga (0.740, 0.740, 0.780)
Ga (0.260, 0.260, 0.220)
Cu (0.591, 0.591, 0.228)
Cu (0.409, 0.409, 0.772)